# 1
Here is TaCd2Fe after structural relaxation from Alexandria. Energies are from PBE.

abc: 5.0041 5.0041 5.2434
angles: 75.15 75.15 34.61
With the nearest neighbours (Å) after each atom.
Element x y z (fractional)
1 Cd 0.9991 0.9991 0.9908  5 Cd 2.79-2.98, 2 Fe 2.84, 3 Ta 3.02-3.09
2 Cd 0.7681 0.7681 0.7598  5 Cd 2.79-2.98, 2 Fe 2.87, 2 Ta 2.95
3 Fe 0.5100 0.5100 0.4472  2 Ta 2.47
4 Ta 0.2227 0.2227 0.3022  2 Fe 2.47

Output
Energy relative to the elements   0.363 eV/atom
Symmetry   Cm, No. 8
VASP energy   -20.69 eV/cell
Calculated volume   72 Å³ per cell
Density of states at the Fermi level   2.75 states/eV/cell

=====

# 2
Here is TiAg2F5 after structural relaxation from Alexandria. Energies are from PBE.

abc: 3.8706 7.5290 10.1639
angles: 90.00 90.00 104.89
With the nearest neighbours (Å) after each atom.
Element x y z (fractional)
1 Ti 0.8244 0.6488 0.7500  6 F 1.86-1.94
2 Ti 0.1756 0.3512 0.2500  6 F 1.86-1.94
3 Ag 0.8994 0.7988 0.3824  2 F 2.41-2.68, 1 Ag 2.69
4 Ag 0.8994 0.7988 0.1176  2 F 2.41-2.68, 1 Ag 2.69
5 Ag 0.1006 0.2012 0.6176  2 F 2.41-2.68, 1 Ag 2.69
6 Ag 0.1006 0.2012 0.8824  2 F 2.41-2.68, 1 Ag 2.69
7 F 0.9165 0.8330 0.8822  1 Ti 1.90
8 F 0.9165 0.8330 0.6178  1 Ti 1.90
9 F 0.2660 0.5319 0.3792  1 Ti 1.86
10 F 0.2660 0.5319 0.1208  1 Ti 1.86
11 F 0.6732 0.3463 0.2500  2 Ti 1.94
12 F 0.3268 0.6537 0.7500  2 Ti 1.94
13 F 0.7340 0.4681 0.6208  1 Ti 1.86
14 F 0.7340 0.4681 0.8792  1 Ti 1.86
15 F 0.0835 0.1670 0.1178  1 Ti 1.90
16 F 0.0835 0.1670 0.3822  1 Ti 1.90

Output
Symmetry   Cmcm, No. 63
VASP energy   -81.04 eV/cell
Calculated volume   286 Å³ per cell
Energy relative to the elements, uncorrected   -2196 meV/atom
Density of states at the Fermi level   3.97 states/eV/cell

=====

# 3
Here is Ca3AgPb2 after structural relaxation from Alexandria. Energies are from PBE.

abc: 5.4528 5.4527 13.3541
angles: 90.00 90.00 120.00
With the nearest neighbours (Å) after each atom.
Element x y z (fractional)
1 Ca 0.3333 0.6667 0.4186  4 Ag 3.29-3.34, 4 Pb 3.33-3.36
2 Ca 0.6667 0.3333 0.0905  1 Ag 3.27, 7 Pb 3.31-3.44
3 Ca 0.0000 0.0000 0.7425  5 Pb 3.24-3.44, 3 Ag 3.31
4 Ca 0.0000 0.0000 0.2575  5 Pb 3.24-3.44, 3 Ag 3.31
5 Ca 0.3333 0.6667 0.9095  1 Ag 3.27, 7 Pb 3.31-3.44
6 Ca 0.6667 0.3333 0.5814  4 Ag 3.29-3.34, 4 Pb 3.33-3.36
7 Ag 0.3333 0.6667 0.6650  8 Ca 3.27-3.34
8 Ag 0.6667 0.3333 0.3350  8 Ca 3.27-3.34
9 Pb 0.0000 0.0000 0.5000  8 Ca 3.24-3.33
10 Pb 0.3333 0.6667 0.1673  8 Ca 3.31-3.44
11 Pb 0.6667 0.3333 0.8327  8 Ca 3.31-3.44
12 Pb 0.0000 0.0000 0.0000  8 Ca 3.37-3.44

Output
Energy relative to the elements   -0.473 eV/atom
Symmetry   P-3m1, No. 164
VASP energy   -38.22 eV/cell
Calculated volume   344 Å³ per cell
Density of states at the Fermi level   5.18 states/eV/cell

=====

# 4
Here is La2Cu2Si after structural relaxation from Alexandria. Energies are from PBE.

abc: 8.2913 8.2913 3.6398
angles: 90.00 90.00 90.00
With the nearest neighbours (Å) after each atom.
Element x y z (fractional)
1 Si 0.0000 0.0000 0.0000  4 La 3.03
2 Si 0.5000 0.5000 0.0000  4 La 3.03
3 Cu 0.1072 0.6072 0.5000  1 Cu 2.51
4 Cu 0.6072 0.8928 0.5000  1 Cu 2.51
5 Cu 0.8928 0.3928 0.5000  1 Cu 2.51
6 Cu 0.3928 0.1072 0.5000  1 Cu 2.51
7 La 0.3170 0.8170 0.0000  2 Si 3.03, 6 Cu 3.06-3.08
8 La 0.8170 0.6830 0.0000  2 Si 3.03, 6 Cu 3.06-3.08
9 La 0.6830 0.1830 0.0000  2 Si 3.03, 6 Cu 3.06-3.08
10 La 0.1830 0.3170 0.0000  2 Si 3.03, 6 Cu 3.06-3.08

Output
Symmetry   P4/mbm, No. 127
VASP energy   -46.57 eV/cell
Calculated volume   250 Å³ per cell
Energy relative to the elements, uncorrected   37 meV/atom
Density of states at the Fermi level   5.31 states/eV/cell

=====

# 5
Here is LaCrGeBr2 after structural relaxation from Alexandria. Energies are from PBE.

abc: 4.7518 5.7755 4.7518
angles: 90.00 90.00 90.00
With the nearest neighbours (Å) after each atom.
Element x y z (fractional)
1 Cr 0.0000 0.0000 0.0000  4 Br 2.38
2 Ge 0.5000 0.5000 0.5000  4 La 3.36, 8 Br 3.74
3 Br 0.0000 0.0000 0.5000  2 Cr 2.38
4 Br 0.5000 0.0000 0.0000  2 Cr 2.38
5 La 0.0000 0.5000 0.0000  2 Cr 2.89

Output
Symmetry   P4/mmm, No. 123
VASP energy   -21.70 eV/cell
Calculated volume   130 Å³ per cell
Energy relative to the elements, uncorrected   164 meV/atom
Density of states at the Fermi level   6.99 states/eV/cell

=====

# 6
Here is Er8Sb2Pt3 after structural relaxation from Alexandria. Energies are from PBE.

abc: 6.9015 7.9095 8.8383
angles: 116.58 105.45 90.00
With the nearest neighbours (Å) after each atom.
Element x y z (fractional)
1 Er 0.8471 0.5877 0.1754  2 Pt 2.73
2 Er 0.1529 0.4123 0.8246  2 Pt 2.73
3 Er 0.9101 0.0970 0.1940  3 Pt 2.76-2.79
4 Er 0.0899 0.9030 0.8060  3 Pt 2.76-2.79
5 Er 0.5988 0.6492 0.7854  2 Pt 2.78-2.79
6 Er 0.5988 0.1362 0.7854  2 Pt 2.78-2.79
7 Er 0.4012 0.8638 0.2146  2 Pt 2.78-2.79
8 Er 0.4012 0.3508 0.2146  2 Pt 2.78-2.79
9 Sb 0.3304 0.2547 0.5094  6 Er 3.09-3.21
10 Sb 0.6696 0.7453 0.4906  6 Er 3.09-3.21
11 Pt 0.5000 0.0000 0.0000  6 Er 2.78-2.79
12 Pt 0.0000 0.2619 0.0000  6 Er 2.73-2.79
13 Pt 0.0000 0.7381 0.0000  6 Er 2.73-2.79

Output
Symmetry   C2/m, No. 12
VASP energy   -73.34 eV/cell
Calculated volume   412 Å³ per cell
Energy relative to the elements, uncorrected   -806 meV/atom
Density of states at the Fermi level   9.35 states/eV/cell

=====

# 7
Here is Ca6Tl2Zn after structural relaxation from Alexandria. Energies are from PBE.

abc: 5.4044 10.2662 10.2744
angles: 90.00 90.01 90.00
With the nearest neighbours (Å) after each atom.
Element x y z (fractional)
1 Ca 0.0001 0.0301 0.1950  1 Zn 3.15, 3 Tl 3.32-3.41
2 Ca 0.0001 0.6947 0.5309  1 Zn 3.15, 3 Tl 3.32-3.41
3 Ca 0.0000 0.6191 0.8817  2 Zn 3.21, 1 Ca 3.45, 2 Tl 3.47
4 Ca 0.5000 0.1191 0.6183  2 Zn 3.21, 1 Ca 3.45, 2 Tl 3.47
5 Ca 0.4999 0.1947 0.9691  1 Zn 3.15, 3 Tl 3.32-3.41
6 Ca 0.4999 0.5301 0.3050  1 Zn 3.15, 3 Tl 3.32-3.41
7 Ca 0.9999 0.9699 0.8050  1 Zn 3.15, 3 Tl 3.32-3.41
8 Ca 0.9999 0.3053 0.4691  1 Zn 3.15, 3 Tl 3.32-3.41
9 Ca 0.0000 0.3809 0.1183  2 Zn 3.21, 1 Ca 3.45, 2 Tl 3.47
10 Ca 0.5000 0.8809 0.3817  2 Zn 3.21, 1 Ca 3.45, 2 Tl 3.47
11 Ca 0.5001 0.8053 0.0309  1 Zn 3.15, 3 Tl 3.32-3.41
12 Ca 0.5001 0.4699 0.6950  1 Zn 3.15, 3 Tl 3.32-3.41
13 Tl 0.0000 0.2928 0.7918  10 Ca 3.32-3.70
14 Tl 0.5000 0.7929 0.7082  10 Ca 3.32-3.70
15 Tl 0.5000 0.2071 0.2918  10 Ca 3.32-3.70
16 Tl 0.0000 0.7072 0.2082  10 Ca 3.32-3.70
17 Zn 0.5000 0.5000 0.0000  8 Ca 3.15-3.21
18 Zn 0.0000 0.0000 0.5000  8 Ca 3.15-3.21

Output
Energy relative to the elements   -0.280 eV/atom
Symmetry   Pnnm, No. 58
VASP energy   -41.06 eV/cell
Calculated volume   570 Å³ per cell
Density of states at the Fermi level   13.16 states/eV/cell

=====

# 8
Here is CoRh after structural relaxation from Alexandria. Energies are from PBE.

abc: 2.6585 7.9302 3.6381
angles: 90.00 90.00 90.00
With the nearest neighbours (Å) after each atom.
Element x y z (fractional)
1 Co 0.0000 0.0078 0.0000  6 Rh 2.53-2.73, 6 Co 2.57-2.66
2 Co 0.5000 0.1636 0.5000  5 Rh 2.54-2.60, 7 Co 2.57-2.66
3 Co 0.5000 0.4946 0.5000  9 Rh 2.62-2.77, 3 Co 2.62-2.66
4 Rh 0.0000 0.3272 0.0000  9 Co 2.53-2.62, 3 Rh 2.66
5 Rh 0.0000 0.6630 0.0000  5 Co 2.62-2.73, 7 Rh 2.66-2.67
6 Rh 0.5000 0.8438 0.5000  6 Co 2.54-2.77, 6 Rh 2.66-2.67

Output
Energy relative to the elements   0.072 eV/atom
Symmetry   Pmm2, No. 25
VASP energy   -42.94 eV/cell
Calculated volume   77 Å³ per cell
Density of states at the Fermi level   9.26 states/eV/cell

=====

# 9
Here is Mg3TeAu after structural relaxation from Alexandria. Energies are from PBE.

abc: 5.1310 5.1310 5.1310
angles: 90.00 90.00 90.00
With the nearest neighbours (Å) after each atom.
Element x y z (fractional)
1 Mg 0.0000 0.5000 0.0000  2 Au 2.57
2 Mg 0.0000 0.0000 0.5000  2 Au 2.57
3 Mg 0.5000 0.0000 0.0000  2 Au 2.57
4 Te 0.5000 0.5000 0.5000  12 Mg 3.63
5 Au 0.0000 0.0000 0.0000  6 Mg 2.57

Output
Symmetry   Pm-3m, No. 221
VASP energy   -12.46 eV/cell
Calculated volume   135 Å³ per cell
Energy relative to the elements, uncorrected   -251 meV/atom
Density of states at the Fermi level   2.16 states/eV/cell

=====

# 10
Here is CaW3I after structural relaxation from Alexandria. Energies are from PBE.

abc: 4.8081 4.8081 4.8081
angles: 90.00 90.00 90.00
With the nearest neighbours (Å) after each atom.
Element x y z (fractional)
1 I 0.5000 0.5000 0.5000  12 W 3.40
2 Ca 0.0000 0.0000 0.0000  6 W 2.40
3 W 0.0000 0.5000 0.0000  2 Ca 2.40
4 W 0.0000 0.0000 0.5000  2 Ca 2.40
5 W 0.5000 0.0000 0.0000  2 Ca 2.40

Output
Symmetry   Pm-3m, No. 221
VASP energy   -25.24 eV/cell
Calculated volume   111 Å³ per cell
Energy relative to the elements, uncorrected   3435 meV/atom
Density of states at the Fermi level   6.41 states/eV/cell